# 1
Density functional theory data (SCAN) for a PBEsol-optimized structure of LiFeCu2Ir.

a = 4.519 Å, b = 4.682 Å, c = 4.682 Å
α = 90.00°, β = 90.00°, γ = 90.00°
Each line ends with the local moment (μB).
Fractional coordinates of all 5 atoms:
Cu  0.000  0.000  0.500  0.15
Li  0.500  0.500  0.500  0.00
Fe  0.500  0.000  0.000  3.58
Cu  0.000  0.500  0.000  0.15
Ir  0.000  0.000  0.000  0.63

## Properties
**M_tot**: 4.55 μB per formula unit
**E**: -23.5828 eV/atom
**DFT formation energy**: 18.92 kcal/mol of atoms

# 2
Density functional theory data (SCAN) for a PBEsol-optimized structure of AsSeSBr2.

a = 4.829 Å, b = 4.829 Å, c = 5.090 Å
α = 90.00°, β = 90.00°, γ = 90.00°
Each line ends with the local moment (μB).
Fractional coordinates of all 5 atoms:
Br  0.500  0.000  0.000  0.06
As  0.500  0.500  0.500  0.78
S  0.000  0.000  0.000  -0.01
Se  0.000  0.000  0.500  -0.10
Br  0.000  0.500  0.000  0.06

## Properties
**M_tot**: 1.55 μB per formula unit
**Energy relative to the elements, uncorrected**: 0.7134 eV/atom
**E**: -17.0499 eV/atom

# 3
Density functional theory data (SCAN) for a PBEsol-optimized structure of InAsNF2.

a = 3.717 Å, b = 4.433 Å, c = 4.433 Å
α = 90.00°, β = 90.00°, γ = 90.00°
Fractional coordinates of all 5 atoms:
F  0.000  0.000  0.500
As  0.000  0.000  0.000
N  0.500  0.000  0.000
In  0.500  0.500  0.500
F  0.000  0.500  0.000

## Properties
**M_tot**: 0.00 μB per formula unit
**Energy relative to the elements, uncorrected**: -0.6190 eV/atom
**E**: -14.6086 eV/atom

# 4
Density functional theory data (SCAN) for a PBEsol-optimized structure of BeTcAs.

a = 3.964 Å, b = 3.964 Å, c = 3.964 Å
α = 60.00°, β = 60.00°, γ = 60.00°
Fractional coordinates of all 3 atoms:
As  0.000  0.000  0.000
Tc  0.250  0.250  0.250
Be  0.500  0.500  0.500

## Properties
**M_tot**: 0.00 μB per formula unit
**E**: -19.6439 eV/atom
**DFT formation energy**: 5.17 kcal/mol of atoms
**Energy above the lowest structure with this stoichiometry**: 627 meV/atom

# 5
Density functional theory data (SCAN) for a PBEsol-optimized structure of TeRu.

a = 3.758 Å, b = 4.679 Å, c = 7.549 Å
α = 107.53°, β = 90.00°, γ = 113.68°
Fractional coordinates of all 6 atoms:
Ru  0.110  0.220  0.971
Te  0.990  0.981  0.588
Te  0.808  0.616  0.950
Ru  0.312  0.624  0.720
Te  0.609  0.218  0.254
Ru  0.338  0.675  0.351

## Properties
**M_tot**: 0.00 μB per formula unit
**Energy relative to the elements, uncorrected**: 0.0807 eV/atom
**E**: -35.9580 eV/atom

# 6
Density functional theory data (SCAN) for a PBEsol-optimized structure of CdReRu3.

a = 4.613 Å, b = 4.613 Å, c = 4.613 Å
α = 90.00°, β = 90.00°, γ = 90.00°
Each line ends with the local moment (μB).
Fractional coordinates of all 5 atoms:
Cd  0.500  0.500  0.500  -0.02
Ru  0.000  0.000  0.500  0.47
Ru  0.500  0.000  0.000  0.47
Ru  0.000  0.500  0.000  0.47
Re  0.000  0.000  0.000  -0.12

## Properties
**M_tot**: 1.24 μB per formula unit
**E**: -39.7466 eV/atom
**DFT formation energy**: 33.47 kcal/mol of atoms

# 7
Density functional theory data (SCAN) for a PBEsol-optimized structure of Ta2BeCo.

a = 4.284 Å, b = 4.284 Å, c = 4.284 Å
α = 60.00°, β = 60.00°, γ = 60.00°
Each line ends with the local moment (μB).
Fractional coordinates of all 4 atoms:
Ta  0.000  0.000  0.000  0.24
Be  0.500  0.500  0.500  -0.02
Co  0.250  0.250  0.250  1.25
Ta  0.750  0.750  0.750  1.06

## Properties
**M_tot**: 2.87 μB per formula unit
**E**: -38.3815 eV/atom
**DFT formation energy**: 7.49 kcal/mol of atoms

# 8
Density functional theory data (SCAN) for a PBEsol-optimized structure of Hf2AgSnSe.

a = 4.859 Å, b = 5.292 Å, c = 5.292 Å
α = 90.00°, β = 90.00°, γ = 90.00°
Each line ends with the local moment (μB).
Fractional coordinates of all 5 atoms:
Sn  0.000  0.000  0.000  0.05
Se  0.500  0.500  0.500  -0.07
Hf  0.000  0.500  0.000  0.65
Ag  0.500  0.000  0.000  0.01
Hf  0.000  0.000  0.500  0.65

## Properties
**M_tot**: 2.14 μB per formula unit
**Energy relative to the elements, uncorrected**: 0.9548 eV/atom
**E**: -41.5877 eV/atom

# 9
Density functional theory data (SCAN) for a PBEsol-optimized structure of YNiSb2.

a = 3.886 Å, b = 4.642 Å, c = 5.654 Å
α = 111.23°, β = 110.10°, γ = 90.00°
Fractional coordinates of all 4 atoms:
Sb  0.036  0.052  0.071
Sb  0.265  0.814  0.530
Y  0.492  0.511  0.984
Ni  0.708  0.123  0.415

## Properties
**M_tot**: 0.00 μB per formula unit
**Energy relative to the elements, uncorrected**: -0.4382 eV/atom
**E**: -30.0726 eV/atom

# 10
Density functional theory data (SCAN) for a PBEsol-optimized structure of TbTmHg2.

a = 5.146 Å, b = 5.146 Å, c = 5.146 Å
α = 60.00°, β = 60.00°, γ = 60.00°
Fractional coordinates of all 4 atoms:
Hg  0.250  0.250  0.250
Tb  0.500  0.500  0.500
Hg  0.750  0.750  0.750
Tm  0.000  0.000  0.000

## Properties
**M_tot**: 0.00 μB per formula unit
**E**: -59.4367 eV/atom
**DFT formation energy**: -16.26 kcal/mol of atoms

# 11
Density functional theory data (SCAN) for a PBEsol-optimized structure of Mg2AsSe.

a = 3.807 Å, b = 3.807 Å, c = 6.180 Å
α = 107.94°, β = 107.94°, γ = 90.00°
Fractional coordinates of all 4 atoms:
Mg  0.750  0.250  0.500
Se  0.500  0.500  0.000
Mg  0.000  0.000  0.000
As  0.250  0.750  0.500

## Properties
**M_tot**: 0.00 μB per formula unit
**Energy relative to the elements, uncorrected**: -0.4937 eV/atom
**E**: -13.0478 eV/atom

# 12
Density functional theory data (SCAN) for a PBEsol-optimized structure of SrTl2Ir.

a = 3.496 Å, b = 3.496 Å, c = 7.564 Å
α = 90.00°, β = 90.00°, γ = 90.01°
Each line ends with the local moment (μB).
Fractional coordinates of all 4 atoms:
Tl  0.000  0.000  0.299  0.00
Tl  0.000  0.000  0.701  0.00
Sr  0.500  0.500  0.000  0.01
Ir  0.500  0.500  0.500  0.51

## Properties
**M_tot**: 0.54 μB per formula unit
**E**: -59.4762 eV/atom
**DFT formation energy**: 1.08 kcal/mol of atoms